# ReSb2H (meta-GGA SCAN, PBEsol geometry)
# Volume = 16.5 A^3/atom
# Energy relative to the lowest polymorph listed for this composition = 0 meV per atom
# Density of states at the Fermi level = 0.697 states/eV/atom
data_ReSb2H
_chemical_formula_sum 'Re4 Sb8 H4'
_cell_length_a 6.413
_cell_length_b 6.413
_cell_length_c 6.413
_cell_angle_alpha 90.00
_cell_angle_beta 90.00
_cell_angle_gamma 90.00
_symmetry_space_group_name_H-M 'F m -3 m'
_symmetry_Int_Tables_number 225
_symmetry_space_group_name_Hall '-F 4 2 3'
loop_
_atom_site_label
_atom_site_type_symbol
_atom_site_fract_x
_atom_site_fract_y
_atom_site_fract_z
Re1 Re 0.000 0.000 0.000
Sb1 Sb 0.250 0.250 0.250
H1 H 0.000 0.000 0.500

***

# ZrTl2Pt (meta-GGA SCAN, PBEsol geometry)
# Volume = 20.7 A^3/atom
# Energy relative to the lowest polymorph listed for this composition = 42 meV per atom
# Density of states at the Fermi level = 0.528 states/eV/atom
data_ZrTl2Pt
_chemical_formula_sum 'Zr2 Tl4 Pt2'
_cell_length_a 11.194
_cell_length_b 3.172
_cell_length_c 5.283
_cell_angle_alpha 90.00
_cell_angle_beta 118.07
_cell_angle_gamma 90.00
_symmetry_space_group_name_H-M 'C 1 2/m 1'
_symmetry_Int_Tables_number 12
_symmetry_space_group_name_Hall '-C 2y'
loop_
_atom_site_label
_atom_site_type_symbol
_atom_site_fract_x
_atom_site_fract_y
_atom_site_fract_z
Zr1 Zr 0.000 0.000 0.000
Tl1 Tl 0.233 0.000 0.733
Pt1 Pt 0.000 0.500 0.500

***

# Ag3Pt5 (meta-GGA SCAN, PBEsol geometry)
# Volume = 15.4 A^3/atom
# Energy relative to the lowest polymorph listed for this composition = 49 meV per atom
# Density of states at the Fermi level = 0.758 states/eV/atom
data_Ag3Pt5
_chemical_formula_sum 'Ag6 Pt10'
_cell_length_a 7.800
_cell_length_b 8.029
_cell_length_c 3.940
_cell_angle_alpha 90.00
_cell_angle_beta 90.00
_cell_angle_gamma 90.00
_symmetry_space_group_name_H-M 'C m m m'
_symmetry_Int_Tables_number 65
_symmetry_space_group_name_Hall '-C 2 2'
loop_
_atom_site_label
_atom_site_type_symbol
_atom_site_fract_x
_atom_site_fract_y
_atom_site_fract_z
Ag1 Ag 0.000 0.000 0.000
Ag2 Ag 0.243 0.000 0.500
Pt1 Pt 0.000 0.262 0.500
Pt2 Pt 0.000 0.500 0.000
Pt3 Pt 0.250 0.250 0.000

***

# CaHoCr2O6 (meta-GGA SCAN, PBEsol geometry)
# Raw formation energy = -3.037 eV per atom
# Volume = 10.5 A^3/atom
# Density of states at the Fermi level = 0.452 states/eV/atom
data_CaHoCr2O6
_chemical_formula_sum 'Ca2 Ho2 Cr4 O12'
_cell_length_a 7.432
_cell_length_b 5.417
_cell_length_c 5.193
_cell_angle_alpha 90.00
_cell_angle_beta 90.00
_cell_angle_gamma 90.00
_symmetry_space_group_name_H-M 'P m n 21'
_symmetry_Int_Tables_number 31
_symmetry_space_group_name_Hall 'P 2ac -2'
loop_
_atom_site_label
_atom_site_type_symbol
_atom_site_fract_x
_atom_site_fract_y
_atom_site_fract_z
Ca1 Ca 0.000 0.197 0.000
Ho1 Ho 0.000 0.684 0.470
Cr1 Cr 0.250 0.245 0.487
O1 O 0.000 0.279 0.571
O2 O 0.000 0.775 0.887
O3 O 0.200 0.947 0.293
O4 O 0.204 0.459 0.194

***

# TaFe4Tc (meta-GGA SCAN, PBEsol geometry)
# VASP energy = -29.06 eV/atom
# Volume = 11.9 A^3/atom
# Density of states at the Fermi level = 0.752 states/eV/atom
data_TaFe4Tc
_chemical_formula_sum 'Ta4 Fe16 Tc4'
_cell_length_a 6.585
_cell_length_b 6.585
_cell_length_c 6.585
_cell_angle_alpha 90.00
_cell_angle_beta 90.00
_cell_angle_gamma 90.00
_symmetry_space_group_name_H-M 'F -4 3 m'
_symmetry_Int_Tables_number 216
_symmetry_space_group_name_Hall 'F -4 2 3'
loop_
_atom_site_label
_atom_site_type_symbol
_atom_site_fract_x
_atom_site_fract_y
_atom_site_fract_z
Ta1 Ta 0.000 0.000 0.000
Fe1 Fe 0.125 0.125 0.375
Tc1 Tc 0.250 0.250 0.750

***

# BeAlPb2 (meta-GGA SCAN, PBEsol geometry)
# Volume = 22.2 A^3/atom
# Energy relative to the lowest polymorph listed for this composition = 216 meV per atom
# Density of states at the Fermi level = 0.440 states/eV/atom
data_BeAlPb2
_chemical_formula_sum 'Be2 Al2 Pb4'
_cell_length_a 4.011
_cell_length_b 5.347
_cell_length_c 8.281
_cell_angle_alpha 90.00
_cell_angle_beta 90.00
_cell_angle_gamma 90.00
_symmetry_space_group_name_H-M 'I m m m'
_symmetry_Int_Tables_number 71
_symmetry_space_group_name_Hall '-I 2 2'
loop_
_atom_site_label
_atom_site_type_symbol
_atom_site_fract_x
_atom_site_fract_y
_atom_site_fract_z
Be1 Be 0.000 0.000 0.000
Al1 Al 0.000 0.000 0.500
Pb1 Pb 0.000 0.500 0.279

***

# K2NdCl5 (meta-GGA SCAN, PBEsol geometry)
# Raw formation energy = -2.440 eV per atom
# Volume = 27.0 A^3/atom
# Density of states at the Fermi level = 0.000 states/eV/atom
data_K2NdCl5
_chemical_formula_sum 'K8 Nd4 Cl20'
_cell_length_a 12.611
_cell_length_b 8.635
_cell_length_c 7.943
_cell_angle_alpha 90.00
_cell_angle_beta 90.00
_cell_angle_gamma 90.00
_symmetry_space_group_name_H-M 'P n m a'
_symmetry_Int_Tables_number 62
_symmetry_space_group_name_Hall '-P 2ac 2n'
loop_
_atom_site_label
_atom_site_type_symbol
_atom_site_fract_x
_atom_site_fract_y
_atom_site_fract_z
K1 K 0.173 0.004 0.047
Nd1 Nd 0.007 0.250 0.576
Cl1 Cl 0.008 0.250 0.924
Cl2 Cl 0.080 0.544 0.663
Cl3 Cl 0.179 0.250 0.367
Cl4 Cl 0.205 0.750 0.331

***

# TiNbBi2 (meta-GGA SCAN, PBEsol geometry)
# VASP energy = -51.05 eV/atom
# Volume = 23.5 A^3/atom
# Density of states at the Fermi level = 1.200 states/eV/atom
data_TiNbBi2
_chemical_formula_sum 'Ti4 Nb4 Bi8'
_cell_length_a 7.721
_cell_length_b 7.721
_cell_length_c 6.301
_cell_angle_alpha 90.00
_cell_angle_beta 90.00
_cell_angle_gamma 90.00
_symmetry_space_group_name_H-M 'I -4 2 d'
_symmetry_Int_Tables_number 122
_symmetry_space_group_name_Hall 'I -4 2bw'
loop_
_atom_site_label
_atom_site_type_symbol
_atom_site_fract_x
_atom_site_fract_y
_atom_site_fract_z
Ti1 Ti 0.000 0.000 0.000
Nb1 Nb 0.000 0.000 0.500
Bi1 Bi 0.244 0.750 0.125

***

# Fe3SBr (meta-GGA SCAN, PBEsol geometry)
# Raw formation energy = 0.372 eV per atom
# Volume = 15.5 A^3/atom
# Energy relative to the lowest polymorph listed for this composition = 0 meV per atom
# Density of states at the Fermi level = 0.773 states/eV/atom
data_Fe3SBr
_chemical_formula_sum 'Fe3 S1 Br1'
_cell_length_a 4.267
_cell_length_b 4.267
_cell_length_c 4.267
_cell_angle_alpha 90.00
_cell_angle_beta 90.00
_cell_angle_gamma 90.00
_symmetry_space_group_name_H-M 'P m -3 m'
_symmetry_Int_Tables_number 221
_symmetry_space_group_name_Hall '-P 4 2 3'
loop_
_atom_site_label
_atom_site_type_symbol
_atom_site_fract_x
_atom_site_fract_y
_atom_site_fract_z
Fe1 Fe 0.000 0.000 0.500
S1 S 0.000 0.000 0.000
Br1 Br 0.500 0.500 0.500

***

# Ba2NaMgSe (meta-GGA SCAN, PBEsol geometry)
# Raw formation energy = -0.009 eV per atom
# Volume = 41.0 A^3/atom
# Density of states at the Fermi level = 0.902 states/eV/atom
data_Ba2NaMgSe
_chemical_formula_sum 'Ba2 Na1 Mg1 Se1'
_cell_length_a 6.345
_cell_length_b 6.345
_cell_length_c 5.092
_cell_angle_alpha 90.00
_cell_angle_beta 90.00
_cell_angle_gamma 90.00
_symmetry_space_group_name_H-M 'P 4/m m m'
_symmetry_Int_Tables_number 123
_symmetry_space_group_name_Hall '-P 4 2'
loop_
_atom_site_label
_atom_site_type_symbol
_atom_site_fract_x
_atom_site_fract_y
_atom_site_fract_z
Ba1 Ba 0.000 0.500 0.000
Na1 Na 0.000 0.000 0.000
Mg1 Mg 0.000 0.000 0.500
Se1 Se 0.500 0.500 0.500

***

# Hg5Au (meta-GGA SCAN, PBEsol geometry)
# VASP energy = -68.26 eV/atom
# Volume = 22.1 A^3/atom
# Density of states at the Fermi level = 0.265 states/eV/atom
data_Hg5Au
_chemical_formula_sum 'Hg10 Au2'
_cell_length_a 12.150
_cell_length_b 2.834
_cell_length_c 8.244
_cell_angle_alpha 90.00
_cell_angle_beta 111.01
_cell_angle_gamma 90.00
_symmetry_space_group_name_H-M 'C 1 2/m 1'
_symmetry_Int_Tables_number 12
_symmetry_space_group_name_Hall '-C 2y'
loop_
_atom_site_label
_atom_site_type_symbol
_atom_site_fract_x
_atom_site_fract_y
_atom_site_fract_z
Hg1 Hg 0.000 0.000 0.000
Hg2 Hg 0.151 0.500 0.346
Hg3 Hg 0.172 0.500 0.815
Au1 Au 0.000 0.000 0.500

***

# BaSrSb2 (meta-GGA SCAN, PBEsol geometry)
# Raw formation energy = -0.939 eV per atom
# Volume = 33.1 A^3/atom
# Energy relative to the lowest polymorph listed for this composition = 69 meV per atom
# Density of states at the Fermi level = 0.472 states/eV/atom
data_BaSrSb2
_chemical_formula_sum 'Ba2 Sr2 Sb4'
_cell_length_a 8.740
_cell_length_b 8.752
_cell_length_c 3.467
_cell_angle_alpha 90.00
_cell_angle_beta 90.00
_cell_angle_gamma 90.00
_symmetry_space_group_name_H-M 'C m m m'
_symmetry_Int_Tables_number 65
_symmetry_space_group_name_Hall '-C 2 2'
loop_
_atom_site_label
_atom_site_type_symbol
_atom_site_fract_x
_atom_site_fract_y
_atom_site_fract_z
Ba1 Ba 0.000 0.000 0.000
Sr1 Sr 0.000 0.500 0.000
Sb1 Sb 0.250 0.250 0.500

***

# SrCrSi (meta-GGA SCAN, PBEsol geometry)
# Raw formation energy = -0.183 eV per atom
# Volume = 24.3 A^3/atom
# Density of states at the Fermi level = 0.426 states/eV/atom
data_SrCrSi
_chemical_formula_sum 'Sr1 Cr1 Si1'
_cell_length_a 4.2694
_cell_length_b 4.2694
_cell_length_c 4.6200
_cell_angle_alpha 90.00
_cell_angle_beta 90.00
_cell_angle_gamma 120.00
_symmetry_space_group_name_H-M 'P -6 m 2'
_symmetry_Int_Tables_number 187
_symmetry_space_group_name_Hall 'P -6 2'
loop_
_atom_site_label
_atom_site_type_symbol
_atom_site_fract_x
_atom_site_fract_y
_atom_site_fract_z
Sr1 Sr 0.0000 0.0000 0.0000
Cr1 Cr 0.3333 0.6667 0.5000
Si1 Si 0.6667 0.3333 0.5000

***

# SiPtSe3 (meta-GGA SCAN, PBEsol geometry)
# Raw formation energy = 0.697 eV per atom
# Volume = 23.1 A^3/atom
# Density of states at the Fermi level = 1.243 states/eV/atom
data_SiPtSe3
_chemical_formula_sum 'Si1 Pt1 Se3'
_cell_length_a 4.873
_cell_length_b 4.873
_cell_length_c 4.873
_cell_angle_alpha 90.00
_cell_angle_beta 90.00
_cell_angle_gamma 90.00
_symmetry_space_group_name_H-M 'P m -3 m'
_symmetry_Int_Tables_number 221
_symmetry_space_group_name_Hall '-P 4 2 3'
loop_
_atom_site_label
_atom_site_type_symbol
_atom_site_fract_x
_atom_site_fract_y
_atom_site_fract_z
Si1 Si 0.000 0.000 0.000
Pt1 Pt 0.500 0.500 0.500
Se1 Se 0.000 0.500 0.500

***

# LiTl2Hg (meta-GGA SCAN, PBEsol geometry)
# Volume = 23.7 A^3/atom
# Energy relative to the lowest polymorph listed for this composition = 43 meV per atom
# Density of states at the Fermi level = 0.354 states/eV/atom
data_LiTl2Hg
_chemical_formula_sum 'Li2 Tl4 Hg2'
_cell_length_a 4.443
_cell_length_b 4.443
_cell_length_c 9.627
_cell_angle_alpha 90.00
_cell_angle_beta 90.00
_cell_angle_gamma 90.00
_symmetry_space_group_name_H-M 'I -4 m 2'
_symmetry_Int_Tables_number 119
_symmetry_space_group_name_Hall 'I -4 -2'
loop_
_atom_site_label
_atom_site_type_symbol
_atom_site_fract_x
_atom_site_fract_y
_atom_site_fract_z
Li1 Li 0.000 0.000 0.000
Tl1 Tl 0.000 0.000 0.500
Tl2 Tl 0.000 0.500 0.250
Hg1 Hg 0.000 0.500 0.750

***

# ScTa2Pb (meta-GGA SCAN, PBEsol geometry)
# VASP energy = -55.68 eV/atom
# Volume = 19.3 A^3/atom
# Density of states at the Fermi level = 0.753 states/eV/atom
data_ScTa2Pb
_chemical_formula_sum 'Sc4 Ta8 Pb4'
_cell_length_a 6.762
_cell_length_b 6.762
_cell_length_c 6.762
_cell_angle_alpha 90.00
_cell_angle_beta 90.00
_cell_angle_gamma 90.00
_symmetry_space_group_name_H-M 'F -4 3 m'
_symmetry_Int_Tables_number 216
_symmetry_space_group_name_Hall 'F -4 2 3'
loop_
_atom_site_label
_atom_site_type_symbol
_atom_site_fract_x
_atom_site_fract_y
_atom_site_fract_z
Sc1 Sc 0.000 0.000 0.000
Ta1 Ta 0.000 0.000 0.500
Ta2 Ta 0.250 0.250 0.250
Pb1 Pb 0.250 0.250 0.750

***

# KCrSe2 (meta-GGA SCAN, PBEsol geometry)
# Raw formation energy = -0.675 eV per atom
# Volume = 25.2 A^3/atom
# Density of states at the Fermi level = 0.485 states/eV/atom
data_KCrSe2
_chemical_formula_sum 'K1 Cr1 Se2'
_cell_length_a 3.564
_cell_length_b 3.564
_cell_length_c 7.953
_cell_angle_alpha 90.00
_cell_angle_beta 90.00
_cell_angle_gamma 90.00
_symmetry_space_group_name_H-M 'P 4 m m'
_symmetry_Int_Tables_number 99
_symmetry_space_group_name_Hall 'P 4 -2'
loop_
_atom_site_label
_atom_site_type_symbol
_atom_site_fract_x
_atom_site_fract_y
_atom_site_fract_z
K1 K 0.000 0.000 0.000
Cr1 Cr 0.500 0.500 0.521
Se1 Se 0.000 0.000 0.597
Se2 Se 0.500 0.500 0.232

***

# Al2CdHg (meta-GGA SCAN, PBEsol geometry)
# Volume = 19.9 A^3/atom
# Energy relative to the lowest polymorph listed for this composition = 85 meV per atom
# Density of states at the Fermi level = 0.391 states/eV/atom
data_Al2CdHg
_chemical_formula_sum 'Al8 Cd4 Hg4'
_cell_length_a 6.823
_cell_length_b 6.823
_cell_length_c 6.823
_cell_angle_alpha 90.00
_cell_angle_beta 90.00
_cell_angle_gamma 90.00
_symmetry_space_group_name_H-M 'F m -3 m'
_symmetry_Int_Tables_number 225
_symmetry_space_group_name_Hall '-F 4 2 3'
loop_
_atom_site_label
_atom_site_type_symbol
_atom_site_fract_x
_atom_site_fract_y
_atom_site_fract_z
Al1 Al 0.250 0.250 0.250
Cd1 Cd 0.000 0.000 0.000
Hg1 Hg 0.000 0.000 0.500

***

# Er9Al5S21 (meta-GGA SCAN, PBEsol geometry)
# Raw formation energy = -1.952 eV per atom
# Volume = 19.8 A^3/atom
# Density of states at the Fermi level = 0.000 states/eV/atom
data_Er9Al5S21
_chemical_formula_sum 'Er54 Al30 S126'
_cell_length_a 16.3201
_cell_length_b 16.3201
_cell_length_c 17.9918
_cell_angle_alpha 90.00
_cell_angle_beta 90.00
_cell_angle_gamma 120.00
_symmetry_space_group_name_H-M 'R 3'
_symmetry_Int_Tables_number 146
_symmetry_space_group_name_Hall 'R 3'
loop_
_atom_site_label
_atom_site_type_symbol
_atom_site_fract_x
_atom_site_fract_y
_atom_site_fract_z
Er1 Er 0.0222 0.1995 0.0000
Er2 Er 0.0220 0.2031 0.3403
Er3 Er 0.0234 0.1967 0.6636
Er4 Er 0.1524 0.6893 0.5060
Er5 Er 0.1573 0.6841 0.8287
Er6 Er 0.1590 0.6945 0.1692
Al1 Al 0.0000 0.0000 0.2684
Al2 Al 0.0000 0.0000 0.4502
Al3 Al 0.0000 0.0000 0.7673
Al4 Al 0.0000 0.0000 0.9489
Al5 Al 0.0010 0.6703 0.3090
Al6 Al 0.0052 0.3351 0.8090
S1 S 0.9997 0.3344 0.2656
S2 S 0.0023 0.6674 0.0991
S3 S 0.0080 0.1258 0.2027
S4 S 0.0082 0.5472 0.5877
S5 S 0.0112 0.1216 0.8626
S6 S 0.0151 0.1319 0.5185
S7 S 0.0172 0.5487 0.9250
S8 S 0.0224 0.5573 0.2567
S9 S 0.1216 0.1108 0.3640
S10 S 0.1271 0.1166 0.7021
S11 S 0.1292 0.3423 0.0915
S12 S 0.1307 0.1180 0.0173
S13 S 0.1313 0.3561 0.4237
S14 S 0.1348 0.3505 0.7542

***

# KTi6Se8 (meta-GGA SCAN, PBEsol geometry)
# Raw formation energy = -1.348 eV per atom
# Volume = 19.5 A^3/atom
# Density of states at the Fermi level = 0.498 states/eV/atom
data_KTi6Se8
_chemical_formula_sum 'K1 Ti6 Se8'
_cell_length_a 9.7928
_cell_length_b 9.7928
_cell_length_c 3.5275
_cell_angle_alpha 90.00
_cell_angle_beta 90.00
_cell_angle_gamma 120.00
_symmetry_space_group_name_H-M 'P -3'
_symmetry_Int_Tables_number 147
_symmetry_space_group_name_Hall '-P 3'
loop_
_atom_site_label
_atom_site_type_symbol
_atom_site_fract_x
_atom_site_fract_y
_atom_site_fract_z
K1 K 0.0000 0.0000 0.0000
Ti1 Ti 0.1292 0.4917 0.7509
Se1 Se 0.0517 0.7023 0.7479
Se2 Se 0.3333 0.6667 0.2506